Record 1
A plane-wave DFT calculation with PBE was carried out for a geometry-optimized HfTaTi2 structure.

```
data_HfTaTi2
_space_group_name_H-M_alt 'P 4/m m m'
_space_group_IT_number 123
_space_group_name_Hall '-P 4 2'
_cell_length_a 4.276
_cell_length_b 4.276
_cell_length_c 4.110
_cell_angle_alpha 90.00
_cell_angle_beta 90.00
_cell_angle_gamma 90.00
loop_
_atom_site_label
_atom_site_type_symbol
_atom_site_fract_x
_atom_site_fract_y
_atom_site_fract_z
Hf1 Hf 0.000 0.000 0.000
Ta1 Ta 0.500 0.500 0.000
Ti1 Ti 0.000 0.500 0.500
```

Output
* raw total energy: -9.2703 eV per atom

=====

Record 2
A plane-wave DFT calculation with PBE was carried out for a geometry-optimized Hf14TaTi structure.

```
data_Hf14TaTi
_space_group_name_H-M_alt 'A m m 2'
_space_group_IT_number 38
_cell_length_a 9.515
_cell_length_b 7.777
_cell_length_c 9.433
_cell_angle_alpha 90.00
_cell_angle_beta 90.00
_cell_angle_gamma 90.00
loop_
_space_group_symop_operation_xyz
'x,y,z'
'-x,-y,z'
'-x,y,z'
'x,-y,z'
'x,y+1/2,z+1/2'
'-x,-y+1/2,z+1/2'
'-x,y+1/2,z+1/2'
'x,-y+1/2,z+1/2'
loop_
_atom_site_label
_atom_site_type_symbol
_atom_site_fract_x
_atom_site_fract_y
_atom_site_fract_z
Hf1 Hf 0.000 0.000 0.000
Hf2 Hf 0.000 0.000 0.439
Hf3 Hf 0.000 0.209 0.716
Hf4 Hf 0.232 0.000 0.215
Hf5 Hf 0.259 0.215 0.937
Hf6 Hf 0.275 0.000 0.662
Hf7 Hf 0.500 0.212 0.169
Ta1 Ta 0.500 0.000 0.437
Ti1 Ti 0.500 0.000 0.876
```

Output
* raw total energy: -9.8528 eV per atom

=====

Record 3
A plane-wave DFT calculation with PBE was carried out for a geometry-optimized Hf2TaTi structure.

```
data_Hf2TaTi
_space_group_name_H-M_alt 'P 4/m m m'
_space_group_IT_number 123
_space_group_name_Hall '-P 4 2'
_cell_length_a 3.576
_cell_length_b 3.576
_cell_length_c 6.226
_cell_angle_alpha 90.00
_cell_angle_beta 90.00
_cell_angle_gamma 90.00
loop_
_atom_site_label
_atom_site_type_symbol
_atom_site_fract_x
_atom_site_fract_y
_atom_site_fract_z
Hf1 Hf 0.000 0.000 0.249
Ta1 Ta 0.500 0.500 0.000
Ti1 Ti 0.500 0.500 0.500
```

Output
* raw total energy: -9.7659 eV per atom

=====

Record 4
A plane-wave DFT calculation with PBE was carried out for a geometry-optimized HfTaTi4 structure.

```
data_HfTaTi4
_space_group_name_H-M_alt 'C m c m'
_space_group_IT_number 63
_space_group_name_Hall '-C 2c 2'
_cell_length_a 4.747
_cell_length_b 16.312
_cell_length_c 5.769
_cell_angle_alpha 90.00
_cell_angle_beta 90.00
_cell_angle_gamma 90.00
loop_
_atom_site_label
_atom_site_type_symbol
_atom_site_fract_x
_atom_site_fract_y
_atom_site_fract_z
Hf1 Hf 0.000 0.134 0.250
Ta1 Ta 0.000 0.217 0.750
Ti1 Ti 0.000 0.058 0.750
Ti2 Ti 0.000 0.342 0.032
Ti3 Ti 0.000 0.500 0.000
```

Output
* raw total energy: -8.6785 eV per atom

=====

Record 5
A plane-wave DFT calculation with PBE was carried out for a geometry-optimized HfTa2Ti structure.

```
data_HfTa2Ti
_space_group_name_H-M_alt 'P 4/m m m'
_space_group_IT_number 123
_space_group_name_Hall '-P 4 2'
_cell_length_a 3.325
_cell_length_b 3.325
_cell_length_c 6.795
_cell_angle_alpha 90.00
_cell_angle_beta 90.00
_cell_angle_gamma 90.00
loop_
_atom_site_label
_atom_site_type_symbol
_atom_site_fract_x
_atom_site_fract_y
_atom_site_fract_z
Hf1 Hf 0.000 0.000 0.000
Ta1 Ta 0.500 0.500 0.275
Ti1 Ti 0.000 0.000 0.500
```

Output
* raw total energy: -10.2522 eV per atom

=====

Record 6
A plane-wave DFT calculation with PBE was carried out for a geometry-optimized HfTaTi2 structure.

```
data_HfTaTi2
_space_group_name_H-M_alt 'I -4 2 d'
_space_group_IT_number 122
_space_group_name_Hall 'I -4 2bw'
_cell_length_a 7.348
_cell_length_b 7.348
_cell_length_c 5.696
_cell_angle_alpha 90.00
_cell_angle_beta 90.00
_cell_angle_gamma 90.00
loop_
_atom_site_label
_atom_site_type_symbol
_atom_site_fract_x
_atom_site_fract_y
_atom_site_fract_z
Hf1 Hf 0.000 0.000 0.000
Ta1 Ta 0.000 0.000 0.500
Ti1 Ti 0.239 0.250 0.625
```

Output
* raw total energy: -8.8311 eV per atom

=====

Record 7
A plane-wave DFT calculation with PBE was carried out for a geometry-optimized Hf2TaTi structure.

```
data_Hf2TaTi
_space_group_name_H-M_alt 'P 4/m m m'
_space_group_IT_number 123
_space_group_name_Hall '-P 4 2'
_cell_length_a 5.056
_cell_length_b 5.056
_cell_length_c 3.117
_cell_angle_alpha 90.00
_cell_angle_beta 90.00
_cell_angle_gamma 90.00
loop_
_atom_site_label
_atom_site_type_symbol
_atom_site_fract_x
_atom_site_fract_y
_atom_site_fract_z
Hf1 Hf 0.000 0.500 0.000
Ta1 Ta 0.000 0.000 0.500
Ti1 Ti 0.500 0.500 0.500
```

Output
* raw total energy: -9.7660 eV per atom

=====

Record 8
A plane-wave DFT calculation with PBE was carried out for a geometry-optimized HfTa2Ti2 structure.

```
data_HfTa2Ti2
_space_group_name_H-M_alt 'P 4/m b m'
_space_group_IT_number 127
_space_group_name_Hall '-P 4 2ab'
_cell_length_a 7.412
_cell_length_b 7.412
_cell_length_c 3.437
_cell_angle_alpha 90.00
_cell_angle_beta 90.00
_cell_angle_gamma 90.00
loop_
_atom_site_label
_atom_site_type_symbol
_atom_site_fract_x
_atom_site_fract_y
_atom_site_fract_z
Hf1 Hf 0.000 0.000 0.000
Ta1 Ta 0.168 0.332 0.500
Ti1 Ti 0.127 0.627 0.000
```

Output
* raw total energy: -9.6873 eV per atom

=====

Record 9
A plane-wave DFT calculation with PBE was carried out for a geometry-optimized Hf2TaTi structure.

```
data_Hf2TaTi
_space_group_name_H-M_alt 'R 3 m'
_space_group_IT_number 160
_space_group_name_Hall 'R 3 -2"'
_cell_length_a 3.0582
_cell_length_b 3.0582
_cell_length_c 29.8944
_cell_angle_alpha 90.00
_cell_angle_beta 90.00
_cell_angle_gamma 120.00
loop_
_atom_site_label
_atom_site_type_symbol
_atom_site_fract_x
_atom_site_fract_y
_atom_site_fract_z
Hf1 Hf 0.0000 0.0000 0.0000
Hf2 Hf 0.0000 0.0000 0.1690
Ta1 Ta 0.0000 0.0000 0.4178
Ti1 Ti 0.0000 0.0000 0.5849
```

Output
* raw total energy: -9.7548 eV per atom

=====

Record 10
A plane-wave DFT calculation with PBE was carried out for a geometry-optimized HfTa2Ti structure.

```
data_HfTa2Ti
_space_group_name_H-M_alt 'P 4/m m m'
_space_group_IT_number 123
_space_group_name_Hall '-P 4 2'
_cell_length_a 4.026
_cell_length_b 4.026
_cell_length_c 4.695
_cell_angle_alpha 90.00
_cell_angle_beta 90.00
_cell_angle_gamma 90.00
loop_
_atom_site_label
_atom_site_type_symbol
_atom_site_fract_x
_atom_site_fract_y
_atom_site_fract_z
Hf1 Hf 0.000 0.000 0.000
Ta1 Ta 0.000 0.500 0.500
Ti1 Ti 0.500 0.500 0.000
```

Output
* raw total energy: -10.2367 eV per atom

=====

Record 11
A plane-wave DFT calculation with PBE was carried out for a geometry-optimized HfTa2Ti structure.

```
data_HfTa2Ti
_space_group_name_H-M_alt 'I -4 2 d'
_space_group_IT_number 122
_space_group_name_Hall 'I -4 2bw'
_cell_length_a 7.505
_cell_length_b 7.505
_cell_length_c 5.593
_cell_angle_alpha 90.00
_cell_angle_beta 90.00
_cell_angle_gamma 90.00
loop_
_atom_site_label
_atom_site_type_symbol
_atom_site_fract_x
_atom_site_fract_y
_atom_site_fract_z
Hf1 Hf 0.000 0.000 0.000
Ta1 Ta 0.235 0.750 0.625
Ti1 Ti 0.000 0.000 0.500
```

Output
* raw total energy: -9.7337 eV per atom

=====

Record 12
A plane-wave DFT calculation with PBE was carried out for a geometry-optimized HfTaTi2 structure.

```
data_HfTaTi2
_space_group_name_H-M_alt 'R -3 m'
_space_group_IT_number 166
_space_group_name_Hall '-R 3 2"'
_cell_length_a 2.9974
_cell_length_b 2.9974
_cell_length_c 29.2485
_cell_angle_alpha 90.00
_cell_angle_beta 90.00
_cell_angle_gamma 120.00
loop_
_atom_site_label
_atom_site_type_symbol
_atom_site_fract_x
_atom_site_fract_y
_atom_site_fract_z
Hf1 Hf 0.0000 0.0000 0.0000
Ta1 Ta 0.0000 0.0000 0.5000
Ti1 Ti 0.0000 0.0000 0.2471
```

Output
* raw total energy: -9.2526 eV per atom

=====

Record 13
A plane-wave DFT calculation with PBE was carried out for a geometry-optimized HfTa2Ti structure.

```
data_HfTa2Ti
_space_group_name_H-M_alt 'F m -3 m'
_space_group_IT_number 225
_space_group_name_Hall '-F 4 2 3'
_cell_length_a 6.692
_cell_length_b 6.692
_cell_length_c 6.692
_cell_angle_alpha 90.00
_cell_angle_beta 90.00
_cell_angle_gamma 90.00
loop_
_atom_site_label
_atom_site_type_symbol
_atom_site_fract_x
_atom_site_fract_y
_atom_site_fract_z
Hf1 Hf 0.000 0.000 0.000
Ta1 Ta 0.250 0.250 0.250
Ti1 Ti 0.000 0.000 0.500
```

Output
* raw total energy: -10.2173 eV per atom

=====

Record 14
A plane-wave DFT calculation with PBE was carried out for a geometry-optimized Hf2TaTi structure.

```
data_Hf2TaTi
_space_group_name_H-M_alt 'F m -3 m'
_space_group_IT_number 225
_space_group_name_Hall '-F 4 2 3'
_cell_length_a 6.838
_cell_length_b 6.838
_cell_length_c 6.838
_cell_angle_alpha 90.00
_cell_angle_beta 90.00
_cell_angle_gamma 90.00
loop_
_atom_site_label
_atom_site_type_symbol
_atom_site_fract_x
_atom_site_fract_y
_atom_site_fract_z
Hf1 Hf 0.250 0.250 0.250
Ta1 Ta 0.000 0.000 0.000
Ti1 Ti 0.000 0.000 0.500
```

Output
* raw total energy: -9.7758 eV per atom

=====

Record 15
A plane-wave DFT calculation with PBE was carried out for a geometry-optimized HfTaTi2 structure.

```
data_HfTaTi2
_space_group_name_H-M_alt 'P 4/m m m'
_space_group_IT_number 123
_space_group_name_Hall '-P 4 2'
_cell_length_a 3.448
_cell_length_b 3.448
_cell_length_c 6.324
_cell_angle_alpha 90.00
_cell_angle_beta 90.00
_cell_angle_gamma 90.00
loop_
_atom_site_label
_atom_site_type_symbol
_atom_site_fract_x
_atom_site_fract_y
_atom_site_fract_z
Hf1 Hf 0.000 0.000 0.000
Ta1 Ta 0.000 0.000 0.500
Ti1 Ti 0.500 0.500 0.284
```

Output
* raw total energy: -9.3250 eV per atom

=====

Record 16
A plane-wave DFT calculation with PBE was carried out for a geometry-optimized HfTa2Ti2 structure.

```
data_HfTa2Ti2
_space_group_name_H-M_alt 'P 4/m b m'
_space_group_IT_number 127
_space_group_name_Hall '-P 4 2ab'
_cell_length_a 7.604
_cell_length_b 7.604
_cell_length_c 3.307
_cell_angle_alpha 90.00
_cell_angle_beta 90.00
_cell_angle_gamma 90.00
loop_
_atom_site_label
_atom_site_type_symbol
_atom_site_fract_x
_atom_site_fract_y
_atom_site_fract_z
Hf1 Hf 0.000 0.000 0.000
Ta1 Ta 0.146 0.354 0.000
Ti1 Ti 0.144 0.644 0.500
```

Output
* raw total energy: -9.6191 eV per atom

=====

Record 17
A plane-wave DFT calculation with PBE was carried out for a geometry-optimized HfTaTiTl structure.

```
data_HfTaTiTl
_space_group_name_H-M_alt 'F -4 3 m'
_space_group_IT_number 216
_space_group_name_Hall 'F -4 2 3'
_cell_length_a 6.801
_cell_length_b 6.801
_cell_length_c 6.801
_cell_angle_alpha 90.00
_cell_angle_beta 90.00
_cell_angle_gamma 90.00
loop_
_atom_site_label
_atom_site_type_symbol
_atom_site_fract_x
_atom_site_fract_y
_atom_site_fract_z
Hf1 Hf 0.000 0.000 0.000
Ta1 Ta 0.250 0.250 0.250
Ti1 Ti 0.000 0.000 0.500
Tl1 Tl 0.250 0.250 0.750
```

Output
* raw total energy: -7.8262 eV per atom

=====

Record 18
A plane-wave DFT calculation with PBE was carried out for a geometry-optimized Hf2TaTl structure.

```
data_Hf2TaTl
_space_group_name_H-M_alt 'R 3 m'
_space_group_IT_number 160
_space_group_name_Hall 'R 3 -2"'
_cell_length_a 3.1937
_cell_length_b 3.1937
_cell_length_c 29.7589
_cell_angle_alpha 90.00
_cell_angle_beta 90.00
_cell_angle_gamma 120.00
loop_
_atom_site_label
_atom_site_type_symbol
_atom_site_fract_x
_atom_site_fract_y
_atom_site_fract_z
Hf1 Hf 0.0000 0.0000 0.0000
Hf2 Hf 0.0000 0.0000 0.1579
Ta1 Ta 0.0000 0.0000 0.7459
Tl1 Tl 0.0000 0.0000 0.5788
```

Output
* raw total energy: -8.3647 eV per atom

=====

Record 19
A plane-wave DFT calculation with PBE was carried out for a geometry-optimized HfTaTl3 structure.

```
data_HfTaTl3
_space_group_name_H-M_alt 'P m -3 m'
_space_group_IT_number 221
_space_group_name_Hall '-P 4 2 3'
_cell_length_a 5.377
_cell_length_b 5.377
_cell_length_c 5.377
_cell_angle_alpha 90.00
_cell_angle_beta 90.00
_cell_angle_gamma 90.00
loop_
_atom_site_label
_atom_site_type_symbol
_atom_site_fract_x
_atom_site_fract_y
_atom_site_fract_z
Hf1 Hf 0.000 0.000 0.000
Ta1 Ta 0.500 0.500 0.500
Tl1 Tl 0.000 0.500 0.500
```

Output
* raw total energy: -4.5385 eV per atom

=====

Record 20
A plane-wave DFT calculation with PBE was carried out for a geometry-optimized Hf2TaTl structure.

```
data_Hf2TaTl
_space_group_name_H-M_alt 'F m -3 m'
_space_group_IT_number 225
_space_group_name_Hall '-F 4 2 3'
_cell_length_a 6.942
_cell_length_b 6.942
_cell_length_c 6.942
_cell_angle_alpha 90.00
_cell_angle_beta 90.00
_cell_angle_gamma 90.00
loop_
_atom_site_label
_atom_site_type_symbol
_atom_site_fract_x
_atom_site_fract_y
_atom_site_fract_z
Hf1 Hf 0.250 0.250 0.250
Ta1 Ta 0.000 0.000 0.000
Tl1 Tl 0.000 0.000 0.500
```

Output
* raw total energy: -8.3277 eV per atom